Density functional theory data (PBE-GGA) for a geometry-optimized Ba2InPtO4 structure.

Properties
D(E_F) = 2.525 states/eV/cell
Formation energy from raw total energies = -1.525 eV/atom
Magnetic moment = 0.0 μB per formula unit

Unit cell a=5.7608 b=5.7608 c=5.7608 alpha=111.84 beta=111.84 gamma=104.83
With the nearest neighbours (Å) after each atom.
Fractional positions:
Ba 0.0000 0.0000 0.0000  4 O 2.73
Ba 0.7500 0.2500 0.5000  4 O 2.59
In 0.5000 0.5000 0.0000  4 O 2.48
Pt 0.2500 0.7500 0.5000  4 O 2.05
O 0.0983 0.0383 0.5846  1 Pt 2.05
O 0.4537 0.5137 0.4154  1 Pt 2.05
O 0.4863 0.9017 0.9401  1 Pt 2.05
O 0.9617 0.5463 0.0599  1 Pt 2.05

Density functional theory data (PBE-GGA) for a geometry-optimized CdGa3Ag structure.

Properties
D(E_F) = 2.662 states/eV/cell
Magnetic moment = 0.0 μB per formula unit
Energy of formation = 0.0428 eV per atom
ΔE to the lowest computed polymorph = 28 meV/atom

Unit cell a=4.9917 b=5.6637 c=7.6609 alpha=96.61 beta=95.63 gamma=111.47
With the nearest neighbours (Å) after each atom.
Fractional positions:
Cd 0.0000 0.0000 0.0000  7 Ga 2.89-3.08, 1 Ag 2.99, 1 Cd 3.08
Cd 0.3689 0.8255 0.7537  4 Ga 2.87-3.12, 2 Ag 2.95-3.02, 1 Cd 3.08
Ga 0.1914 0.3209 0.3753  6 Ga 2.76-2.93, 2 Ag 2.83-3.03, 1 Cd 3.08
Ga 0.2175 0.8192 0.3303  5 Ga 2.65-2.94, 2 Ag 2.76-2.95
Ga 0.2643 0.2874 0.7322  3 Ga 2.76-2.93, 3 Ag 2.79-2.91, 3 Cd 2.87-2.89
Ga 0.6284 0.1995 0.1964  4 Ga 2.75-2.93, 2 Ag 2.78-2.89, 2 Cd 2.94-3.08
Ga 0.7324 0.7238 0.4716  3 Ga 2.65-2.94, 2 Ag 2.91-2.93
Ga 0.8609 0.4544 0.9175  3 Ag 2.76-2.92, 3 Ga 2.82-2.93, 2 Cd 2.89-3.02
Ag 0.4624 0.6020 0.0833  7 Ga 2.76-3.03, 2 Cd 2.99-3.02
Ag 0.7140 0.2308 0.5643  8 Ga 2.76-2.95, 1 Cd 2.95

Density functional theory data (PBE-GGA) for a geometry-optimized MnTl2Te structure.

Properties
D(E_F) = 2.229 states/eV/cell
Formation energy from raw total energies = 0.271 eV/atom
Magnetic moment = 4.6 μB per formula unit
ΔE to the lowest computed polymorph = 192 meV/atom

Unit cell a=5.9034 b=5.9034 c=5.9034 alpha=132.50 beta=132.50 gamma=69.45
With the nearest neighbours (Å) after each atom.
Fractional positions:
Mn 0.0000 0.0000 0.0000  8 Tl 3.36-3.40, 4 Te 3.40
Tl 0.5000 0.5000 0.0000  4 Mn 3.36, 4 Tl 3.40, 4 Te 3.40
Tl 0.7500 0.2500 0.5000  4 Te 3.36, 4 Tl 3.40, 4 Mn 3.40
Te 0.2500 0.7500 0.5000  8 Tl 3.36-3.40, 4 Mn 3.40

Density functional theory data (PBE-GGA) for a geometry-optimized BeNiIr2 structure.

Properties
D(E_F) = 4.991 states/eV/cell
Magnetic moment = 0.0 μB per formula unit
Energy of formation = -0.2019 eV per atom

Unit cell a=2.7377 b=2.7377 c=6.3495 alpha=90.00 beta=90.00 gamma=90.00
With the nearest neighbours (Å) after each atom.
Fractional positions:
Be 0.0000 0.0000 0.0000  4 Ni 2.28, 4 Ir 2.42
Ni 0.5000 0.5000 0.8096  4 Be 2.28
Ir 0.0000 0.0000 0.5290  4 Ni 2.63, 8 Ir 2.71-2.74
Ir 0.5000 0.5000 0.2295  4 Be 2.42, 1 Ni 2.67, 4 Ir 2.71

Density functional theory data (PBE-GGA) for a geometry-optimized BaGaP2O structure.

Properties
D(E_F) = 3.908 states/eV/cell
Formation energy from raw total energies = -0.325 eV/atom
Magnetic moment = 1.7 μB per formula unit
ΔE to the lowest computed polymorph = 0 meV/atom

Unit cell a=4.9574 b=4.9574 c=4.2287 alpha=90.00 beta=90.00 gamma=90.00
With the nearest neighbours (Å) after each atom.
Fractional positions:
Ba 0.0000 0.0000 0.0000  8 P 3.26, 4 O 3.51
Ga 0.5000 0.5000 0.5000  2 O 2.11
P 0.0000 0.5000 0.5000  2 Ga 2.48
P 0.5000 0.0000 0.5000  2 Ga 2.48
O 0.5000 0.5000 0.0000  2 Ga 2.11

Density functional theory data (PBE-GGA) for a geometry-optimized Y3InTe2 structure.

Properties
D(E_F) = 0.984 states/eV/cell
Formation energy from raw total energies = -1.055 eV/atom
Magnetic moment = 0.0 μB per formula unit

Unit cell a=7.7520 b=7.7520 c=7.7520 alpha=148.27 beta=132.86 gamma=57.95
With the nearest neighbours (Å) after each atom.
Fractional positions:
Y 0.0000 0.0000 0.0000  2 In 3.10, 4 Te 3.12
Y 0.3355 0.3355 0.0000  2 In 3.08, 4 Te 3.10
Y 0.6645 0.6645 0.0000  2 In 3.08, 4 Te 3.10
In 0.5000 0.0000 0.5000  6 Y 3.08-3.10
Te 0.1685 0.6685 0.5000  6 Y 3.10-3.12
Te 0.8315 0.3315 0.5000  6 Y 3.10-3.12

Density functional theory data (PBE-GGA) for a geometry-optimized NbCuHg structure.

Properties
D(E_F) = 1.770 states/eV/cell
Magnetic moment = 0.0 μB per formula unit
Energy of formation = 0.1707 eV per atom
ΔE to the lowest computed polymorph = 0 meV/atom

Unit cell a=6.2092 b=6.2092 c=6.2092 alpha=152.38 beta=152.38 gamma=39.46
With the nearest neighbours (Å) after each atom.
Fractional positions:
Nb 0.0000 0.0000 0.0000  4 Cu 2.72, 4 Nb 2.96
Cu 0.6478 0.6478 0.0000  4 Nb 2.72, 4 Hg 2.82, 4 Cu 2.96
Hg 0.3090 0.3090 0.0000  4 Cu 2.82, 4 Hg 2.96, 4 Nb 3.06

Density functional theory data (PBE-GGA) for a geometry-optimized ZrAgP3 structure.

Properties
D(E_F) = 3.845 states/eV/cell
Magnetic moment = 0.0 μB per formula unit
Energy of formation = 0.8167 eV per atom
ΔE to the lowest computed polymorph = 305 meV/atom

Unit cell a=4.7102 b=4.7102 c=4.7102 alpha=90.00 beta=90.00 gamma=90.00
With the nearest neighbours (Å) after each atom.
Fractional positions:
Zr 0.0000 0.0000 0.0000  12 P 3.33
Ag 0.5000 0.5000 0.5000  6 P 2.36
P 0.0000 0.5000 0.5000  2 Ag 2.36
P 0.5000 0.0000 0.5000  2 Ag 2.36
P 0.5000 0.5000 0.0000  2 Ag 2.36

Density functional theory data (PBE-GGA) for a geometry-optimized Ca2NdHg2 structure.

Properties
D(E_F) = 8.176 states/eV/cell
Magnetic moment = 0.0 μB per formula unit
Energy of formation = -0.3806 eV per atom
ΔE to the lowest computed polymorph = 0 meV/atom

Unit cell a=6.5423 b=5.2731 c=9.1578 alpha=90.00 beta=90.04 gamma=90.00
With the nearest neighbours (Å) after each atom.
Fractional positions:
Ca 0.1565 0.2500 0.4159  5 Hg 3.23-3.31
Ca 0.1570 0.7500 0.9170  5 Hg 3.24-3.30
Ca 0.8430 0.2500 0.0830  5 Hg 3.24-3.30
Ca 0.8435 0.7500 0.5841  5 Hg 3.23-3.31
Nd 0.4992 0.2500 0.7498  6 Hg 3.22-3.23
Nd 0.5008 0.7500 0.2502  6 Hg 3.22-3.23
Hg 0.3381 0.2500 0.0833  3 Nd 3.23, 5 Ca 3.24-3.30
Hg 0.3376 0.7500 0.5830  3 Nd 3.22-3.23, 5 Ca 3.23-3.31
Hg 0.6624 0.2500 0.4170  3 Nd 3.22-3.23, 5 Ca 3.23-3.31
Hg 0.6619 0.7500 0.9167  3 Nd 3.23, 5 Ca 3.24-3.30

Density functional theory data (PBE-GGA) for a geometry-optimized NdMgHgPb structure.

Properties
D(E_F) = 1.660 states/eV/cell
Magnetic moment = 0.0 μB per formula unit
Energy of formation = -0.4043 eV per atom
ΔE to the lowest computed polymorph = 0 meV/atom

Unit cell a=4.4139 b=4.7856 c=5.0147 alpha=90.00 beta=90.00 gamma=90.00
With the nearest neighbours (Å) after each atom.
Fractional positions:
Nd 0.0000 0.0000 0.0000  4 Pb 3.26, 4 Hg 3.34, 4 Mg 3.47
Mg 0.0000 0.5000 0.5000  4 Hg 3.26, 4 Pb 3.34, 4 Nd 3.47
Hg 0.5000 0.0000 0.5000  4 Mg 3.26, 4 Nd 3.34, 4 Pb 3.47
Pb 0.5000 0.5000 0.0000  4 Nd 3.26, 4 Mg 3.34, 4 Hg 3.47

Density functional theory data (PBE-GGA) for a geometry-optimized Ta3FeAu structure.

Properties
D(E_F) = 4.288 states/eV/cell
Magnetic moment = 0.0 μB per formula unit
Energy of formation = 0.6324 eV per atom
ΔE to the lowest computed polymorph = 0 meV/atom

Unit cell a=4.5583 b=4.5583 c=4.5583 alpha=90.00 beta=90.00 gamma=90.00
With the nearest neighbours (Å) after each atom.
Fractional positions:
Ta 0.0000 0.0000 0.5000  2 Fe 2.28
Ta 0.0000 0.5000 0.0000  2 Fe 2.28
Ta 0.5000 0.0000 0.0000  2 Fe 2.28
Fe 0.0000 0.0000 0.0000  6 Ta 2.28
Au 0.5000 0.5000 0.5000  12 Ta 3.22

Density functional theory data (PBE-GGA) for a geometry-optimized HoTm3Co2 structure.

Properties
D(E_F) = 9.896 states/eV/cell
Magnetic moment = 0.0 μB per formula unit
Energy of formation = -0.1109 eV per atom
ΔE to the lowest computed polymorph = 77 meV/atom

Unit cell a=8.1438 b=8.1438 c=10.9234 alpha=119.17 beta=119.17 gamma=28.10
With the nearest neighbours (Å) after each atom.
Fractional positions:
Ho 0.0794 0.0794 0.1759  3 Co 2.63-2.72
Ho 0.9206 0.9206 0.8241  3 Co 2.63-2.72
Tm 0.1716 0.1716 0.5385  3 Co 2.64-2.66
Tm 0.2835 0.2835 0.9102  3 Co 2.64-2.68
Tm 0.4462 0.4462 0.2822  3 Co 2.67-2.73
Tm 0.5538 0.5538 0.7178  3 Co 2.67-2.73
Tm 0.7165 0.7165 0.0898  3 Co 2.64-2.68
Tm 0.8284 0.8284 0.4615  3 Co 2.64-2.66
Co 0.1159 0.1159 0.9165  5 Tm 2.64-2.73, 1 Ho 2.72
Co 0.3643 0.3643 0.6413  2 Ho 2.63, 4 Tm 2.64-2.67
Co 0.6357 0.6357 0.3587  2 Ho 2.63, 4 Tm 2.64-2.67
Co 0.8841 0.8841 0.0835  5 Tm 2.64-2.73, 1 Ho 2.72